PmCrGa3 | PBE | relaxed Values from VASP.

Geometry as Quantum ESPRESSO input:
```
&SYSTEM
  ibrav = 0, nat = 5, ntyp = 3
/
ATOMIC_SPECIES
Ga 69.72 Ga.upf
Cr 52.00 Cr.upf
Pm 145.00 Pm.upf
CELL_PARAMETERS angstrom
-2.4826 -3.3062 -2.1665
-1.3801 -1.6723 4.1336
-3.7040 2.8390 -0.0881
ATOMIC_POSITIONS crystal
Ga 0.0000 0.5000 0.0000
Ga 0.5000 0.0000 0.0000
Ga 0.0000 0.0000 0.5000
Cr 0.0000 0.0000 0.0000
Pm 0.5000 0.5000 0.5000
```

Values from the calculation:
Formation energy from the elements ... -1.1 eV/f.u.
Symmetry ... Pm-3m